--- a ---
Material: TbTh3Sc6
Method: DFT, PBE-GGA
State: relaxed

Results
* crystal system: orthorhombic
* space group: No. 36
* theoretical density: 6.7 Mg/m³

Cell: 6.0315 10.8868 10.8868 Å, 128.88 90.00 90.00°
Fractional positions:
Sc (0.5495, 0.2442, 0.3757)
Sc (0.0495, 0.7558, 0.6243)
Th (0.0098, 0.6974, 0.9426)
Sc (0.3361, 0.4494, 0.8939)
Tb (0.5270, 0.8423, 0.1577)
Th (0.5098, 0.3026, 0.0574)
Sc (0.7924, 0.3042, 0.6958)
Sc (0.2924, 0.6958, 0.3042)
Sc (0.5495, 0.6243, 0.7558)
Sc (0.7694, 0.0013, 0.9987)
Th (0.5098, 0.9426, 0.6974)
Sc (0.8361, 0.8939, 0.4494)
Sc (0.3361, 0.1061, 0.5506)
Sc (0.0495, 0.3757, 0.2442)
Th (0.6057, 0.5708, 0.4292)
Tb (0.0270, 0.1577, 0.8423)
Sc (0.2695, 0.9987, 0.0013)
Th (0.0098, 0.0574, 0.3026)
Th (0.1057, 0.4292, 0.5708)
Sc (0.8361, 0.5506, 0.1061)

--- b ---
Material: TbTh3Sc6
Method: DFT, PBE-GGA
State: relaxed

Results
* crystal system: triclinic
* space group: No. 1
* theoretical density: 6.7 Mg/m³

Cell: 8.8031 11.4269 6.4431 Å, 43.04 42.92 44.38°
Fractional positions:
Th (0.6898, 0.4034, 0.2647)
Th (0.1085, 0.1995, 0.7374)
Sc (0.8903, 0.9939, 0.8593)
Sc (0.4765, 0.7943, 0.6719)
Sc (0.0884, 0.6011, 0.4595)
Tb (0.7134, 0.9927, 0.5346)
Sc (0.5076, 0.4084, 0.9377)
Sc (0.9177, 0.6060, 0.1383)
Th (0.2928, 0.2040, 0.0549)
Sc (0.3150, 0.7969, 0.3417)

In meV/atom, relative to the most stable structure: a 106; b 0.

--- a ---
Material: Tb2Th3Sc3
Method: DFT, PBE-GGA
State: relaxed

Results
* crystal system: hexagonal
* space group: No. 189
* theoretical density: 8.1 Mg/m³

Cell: 3.4990 8.8203 8.8203 Å, 120.00 90.00 90.00°
Fractional positions:
Th (0.0000, 0.7688, 0.0000)
Th (0.0000, 0.0000, 0.7688)
Sc (0.5000, 0.9999, 0.3927)
Sc (0.5000, 0.3927, 0.9999)
Sc (0.5000, 0.6074, 0.6074)
Th (0.0000, 0.2312, 0.2312)
Tb (0.0000, 0.3333, 0.6666)
Tb (0.0000, 0.6666, 0.3333)

--- b ---
Material: Tb2Th3Sc3
Method: DFT, PBE-GGA
State: relaxed

Results
* crystal system: orthorhombic
* space group: No. 71
* theoretical density: 8.2 Mg/m³

Cell: 4.7576 4.9249 10.5518 Å, 103.50 103.03 90.00°
Fractional positions:
Th (0.6224, 0.6224, 0.2447)
Th (0.5000, 0.0000, 0.0000)
Sc (0.1223, 0.1223, 0.2445)
Tb (0.7488, 0.2488, 0.4976)
Sc (0.0000, 0.5000, 0.0000)
Tb (0.2512, 0.7512, 0.5024)
Sc (0.8777, 0.8777, 0.7555)
Th (0.3776, 0.3776, 0.7553)

In meV/atom, relative to the most stable structure: a 87; b 0.

--- a ---
Material: TbThSc
Method: DFT, PBE-GGA
State: relaxed

Results
* crystal system: trigonal
* space group: No. 156
* theoretical density: 8.2 Mg/m³

Cell: 3.5081 3.5081 8.3304 Å, 90.00 90.00 120.00°
Fractional positions:
Th (0.0000, 0.0000, 0.0085)
Tb (0.3333, 0.6667, 0.6639)
Sc (0.6667, 0.3333, 0.3276)

--- b ---
Material: TbThSc
Method: DFT, PBE-GGA
State: relaxed

Results
* crystal system: trigonal
* space group: No. 156
* theoretical density: 8.1 Mg/m³

Cell: 3.4129 3.4129 8.8737 Å, 90.00 90.00 120.00°
Fractional positions:
Th (0.0000, 0.0000, 0.5183)
Sc (0.3333, 0.6667, 0.8240)
Tb (0.3333, 0.6667, 0.1844)

In meV/atom, relative to the most stable structure: a 0; b 133.